Here is crystalline PaFeAg2O8 at its relaxed geometry from Alexandria via LeMat-Bulk. Energies are from GGA+U.

The calculation puts the density of states at the Fermi level at 4.35 states/eV/f.u. Its total energy is -71.8 eV/f.u.

CIF file:
```
data_PaFeAg2O8
_chemical_formula_sum 'Pa2 Fe2 Ag4 O16'
_space_group_name_H-M_alt 'I -4 m 2'
_space_group_IT_number 119
_space_group_name_Hall 'I -4 -2'
_cell_length_a 7.006
_cell_length_b 7.006
_cell_length_c 6.839
_cell_angle_alpha 90.00
_cell_angle_beta 90.00
_cell_angle_gamma 90.00
loop_
_atom_site_label
_atom_site_type_symbol
_atom_site_fract_x
_atom_site_fract_y
_atom_site_fract_z
Pa1 Pa 0.000 0.000 0.000
Fe1 Fe 0.000 0.500 0.750
Ag1 Ag 0.000 0.000 0.500
Ag2 Ag 0.000 0.500 0.250
O1 O 0.000 0.193 0.732
O2 O 0.000 0.322 0.001
```